Computed, not measured: a geometry-optimized CaGa2Au3 structure at the PBE-GGA level of DFT.

The structure belongs to space group P6_3/mmc (No. 194); the cell edges are 4.5719, 4.5719 and 13.1205 Å and the angles 90.00°, 90.00° and 120.00°. Symmetry generates all atoms from Ca at (0.0000, 0.0000, 0.2500), Ga at (0.3333, 0.6667, 0.0885), Au at (0.0000, 0.0000, 0.0000) and Au at (0.3333, 0.6667, 0.6279).

For the total energy, the calculation gives -3.46 eV/atom. Its total moment is 0.000 μB/atom. The value obtained for the formation energy is -0.481 eV/atom. Its crystal system is hexagonal.


Computed, not measured: a geometry-optimized CaGa6Au2 structure at the PBE-GGA level of DFT.

The structure belongs to space group P4/mmm (No. 123); the cell edges are 4.1846, 4.1846 and 10.3283 Å and the angles 90.00°, 90.00° and 90.00°. Symmetry generates all atoms from Ca at (0.0000, 0.0000, 0.0000), Ga at (0.0000, 0.0000, 0.5000), Ga at (0.0000, 0.5000, 0.2987), Ga at (0.5000, 0.5000, 0.5000) and Au at (0.5000, 0.5000, 0.1324).

For the total energy, the calculation gives -3.24 eV/atom. Its total moment is 0.000 μB/atom. The value obtained for the formation energy is -0.275 eV/atom. Its crystal system is tetragonal.


Computed, not measured: a geometry-optimized Ca2Ga7Au structure at the PBE-GGA level of DFT.

The structure belongs to space group P-4m2 (No. 115); the cell edges are 4.3308, 4.3308 and 10.9162 Å and the angles 90.00°, 90.00° and 90.00°. Symmetry generates all atoms from Ca at (0.0000, 0.5000, 0.2470), Ga at (0.0000, 0.0000, 0.0000), Ga at (0.0000, 0.0000, 0.5000), Ga at (0.0000, 0.5000, 0.6360), Ga at (0.0000, 0.5000, 0.8628), Ga at (0.5000, 0.5000, 0.5000) and Au at (0.5000, 0.5000, 0.0000).

For the total energy, the calculation gives -3.28 eV/atom. Its total moment is 0.000 μB/atom. As for the relative energy among the computed polymorphs: 0.0149 eV/atom. The value obtained for the formation energy is -0.429 eV/atom. Its crystal system is tetragonal.


Computed, not measured: a geometry-optimized Ca3GaAu structure at the PBE-GGA level of DFT.

The structure belongs to space group Pm-3m (No. 221); the cell edges are 5.6455, 5.6455 and 5.6455 Å and the angles 90.00°, 90.00° and 90.00°. Symmetry generates all atoms from Ca at (0.0000, 0.0000, 0.5000), Ga at (0.5000, 0.5000, 0.5000) and Au at (0.0000, 0.0000, 0.0000).

For the total energy, the calculation gives -2.67 eV/atom. Its total moment is 0.000 μB/atom. As for the relative energy among the computed polymorphs: 0.0000 eV/atom. The value obtained for the formation energy is -0.211 eV/atom. Its crystal system is cubic.


Computed, not measured: a geometry-optimized CaGa4Au8 structure at the PBE-GGA level of DFT.

The structure belongs to space group I4/mmm (No. 139); the cell edges are 9.2464, 9.2464 and 5.6798 Å and the angles 90.00°, 90.00° and 90.00°. Symmetry generates all atoms from Ca at (0.0000, 0.0000, 0.0000), Ga at (0.2500, 0.2500, 0.2500), Au at (0.0000, 0.2202, 0.5000) and Au at (0.0000, 0.3287, 0.0000).

For the total energy, the calculation gives -3.38 eV/atom. Its total moment is 0.000 μB/atom. The value obtained for the formation energy is -0.276 eV/atom. Its crystal system is tetragonal.


Computed, not measured: a geometry-optimized CaGaAu3 structure at the PBE-GGA level of DFT.

The structure belongs to space group P6_3/mmc (No. 194); the cell edges are 6.6898, 6.6898 and 11.5357 Å and the angles 90.00°, 90.00° and 120.00°. Symmetry generates all atoms from Ca at (0.0000, 0.0000, 0.0000), Ca at (0.3333, 0.6667, 0.2500), Ga at (0.3333, 0.6667, 0.6390), Au at (0.0000, 0.5000, 0.0000) and Au at (0.1373, 0.2746, 0.7500).

For the total energy, the calculation gives -3.41 eV/atom. Its total moment is 0.000 μB/atom. As for the relative energy among the computed polymorphs: 0.1353 eV/atom. The value obtained for the formation energy is -0.443 eV/atom. Its crystal system is hexagonal.


Computed, not measured: a geometry-optimized Ca2Ga3Au structure at the PBE-GGA level of DFT.

The structure belongs to space group Pmm2 (No. 25); the cell edges are 3.7793, 4.4797 and 7.9059 Å and the angles 90.00°, 90.00° and 90.00°. Symmetry generates all atoms from Ca at (0.0000, 0.0000, 0.0000), Ca at (0.0000, 0.5000, 0.4867), Ga at (0.5000, 0.0000, 0.6610), Ga at (0.5000, 0.5000, 0.1588), Ga at (0.5000, 0.5000, 0.8292) and Au at (0.5000, 0.0000, 0.3286).

For the total energy, the calculation gives -3.32 eV/atom. Its total moment is 0.000 μB/atom. As for the relative energy among the computed polymorphs: 0.0025 eV/atom. The value obtained for the formation energy is -0.597 eV/atom. Its crystal system is orthorhombic.


Computed, not measured: a geometry-optimized CaGa3Au6 structure at the PBE-GGA level of DFT.

The structure belongs to space group P1 (No. 1); the cell edges are 6.2714, 6.3282 and 6.6483 Å and the angles 93.96°, 109.31° and 119.11°. Symmetry generates all atoms from Ca at (0.0000, 0.0000, 0.0000), Ga at (0.0227, 0.5384, 0.5763), Ga at (0.5119, 0.3790, 0.7613), Ga at (0.5554, 0.8043, 0.2118), Au at (0.0198, 0.5091, 0.9904), Au at (0.0435, 0.9662, 0.4990), Au at (0.3157, 0.4786, 0.4093), Au at (0.4211, 0.9549, 0.8829), Au at (0.6434, 0.4390, 0.1899) and Au at (0.6655, 0.0909, 0.5764).

For the total energy, the calculation gives -3.38 eV/atom. Its total moment is 0.000 μB/atom. As for the relative energy among the computed polymorphs: 0.0000 eV/atom. The value obtained for the formation energy is -0.310 eV/atom. Its crystal system is triclinic.